## Er5Sn12Ir2 (PBE)

Data for an optimized crystal structure of Er5Sn12Ir2.

It has space group C2/m (No. 12), with a = 16.2865 Å, b = 7.1576 Å, c = 10.8094 Å, α = 90.00°, β = 127.65° and γ = 90.00°. The asymmetric unit holds Er at (0.0000, 0.0000, 0.0000), Er at (0.1203, 0.5000, 0.9779), Er at (0.1624, 0.0000, 0.5010), Sn at (0.0432, 0.5000, 0.4030), Sn at (0.0714, 0.0000, 0.7851), Sn at (0.1283, 0.2905, 0.2486), Sn at (0.1953, 0.2934, 0.7715) and Ir at (0.0000, 0.1935, 0.5000).

As for the density of states at the Fermi level: 10.4 states/eV/cell. As for the energy: -5.01 eV per atom.

## Er6SnIr2 (PBE)

Data for an optimized crystal structure of Er6SnIr2.

It has space group Immm (No. 71), with a = 9.3306 Å, b = 9.5258 Å, c = 10.3622 Å, α = 90.00°, β = 90.00° and γ = 90.00°. The asymmetric unit holds Er at (0.0000, 0.2071, 0.2386), Er at (0.1910, 0.5000, 0.1679), Er at (0.2130, 0.3184, 0.5000), Sn at (0.0000, 0.0000, 0.0000), Sn at (0.0000, 0.0000, 0.5000), Ir at (0.0000, 0.3332, 0.0000) and Ir at (0.0000, 0.5000, 0.3677).

As for the density of states at the Fermi level: 29.5 states/eV/cell. As for the energy: -6.15 eV per atom.

## Sr2ErSn3Ir4 (PBE)

Data for an optimized crystal structure of Sr2ErSn3Ir4.

It has space group P-4m2 (No. 115), with a = 4.4692 Å, b = 4.4692 Å, c = 11.5859 Å, α = 90.00°, β = 90.00° and γ = 90.00°. The asymmetric unit holds Sr at (0.0000, 0.5000, 0.2351), Er at (0.0000, 0.0000, 0.5000), Sn at (0.0000, 0.5000, 0.8750), Sn at (0.5000, 0.5000, 0.5000), Ir at (0.0000, 0.0000, 0.0000), Ir at (0.0000, 0.5000, 0.6419) and Ir at (0.5000, 0.5000, 0.0000).

As for the density of states at the Fermi level: 4.6 states/eV/cell. As for the energy: -6.09 eV per atom.

## SrErIr (PBE)

Data for an optimized crystal structure of SrErIr.

It has space group I4mm (No. 107), with a = 3.5194 Å, b = 3.5194 Å, c = 13.5972 Å, α = 90.00°, β = 90.00° and γ = 90.00°. The asymmetric unit holds Sr at (0.0000, 0.0000, 0.0000), Er at (0.0000, 0.0000, 0.2514) and Ir at (0.0000, 0.0000, 0.6509).

As for the density of states at the Fermi level: 3.2 states/eV/cell. As for the energy: -5.44 eV per atom.